1.
A plane-wave DFT calculation with GGA-PBE was carried out for an optimized crystal structure of YGa3Pd3.

a = 6.904 Å, b = 6.904 Å, c = 7.273 Å
α = 61.67°, β = 61.67°, γ = 60.00°
Sites, in units of the cell vectors:
Y1 0.339 0.339 0.984
Y2 0.661 0.661 0.016
Ga1 0.537 0.732 0.630
Ga2 0.732 0.101 0.630
Ga3 0.101 0.537 0.630
Ga4 0.899 0.463 0.370
Ga5 0.268 0.899 0.370
Ga6 0.463 0.268 0.370
Pd1 0.176 0.693 0.207
Pd2 0.924 0.176 0.207
Pd3 0.693 0.924 0.207
Pd4 0.307 0.076 0.793
Pd5 0.076 0.824 0.793
Pd6 0.824 0.307 0.793

Output
Space group: R-3
Formation enthalpy at 0 K, eV per atom: -0.65
Total energy, eV per atom: -5.097


2.
A plane-wave DFT calculation with GGA-PBE was carried out for an optimized crystal structure of Y2GaPd.

a = 8.479 Å, b = 8.479 Å, c = 8.479 Å
α = 34.63°, β = 155.70°, γ = 155.71°
Site moments in Bohr magnetons follow the coordinates.
Sites, in units of the cell vectors:
Y1 0.000 0.327 0.327  -0.20
Y2 0.000 0.673 0.673  -0.20
Ga1 0.000 0.000 0.000  -0.01
Pd1 0.000 0.500 0.500  -0.03

Output
Space group: I4/mmm
Formation enthalpy at 0 K, eV per atom: -0.24
Total energy, eV per atom: -5.531